1.
Density functional theory data (GGA-PBE) for a geometry-optimized Tm3AlP2Ir9 structure.

abc: 5.5815 5.5815 10.3259
angles: 90.00 90.00 120.00
Atoms (fractional coordinates):
Ir 0.5000 0.5000 0.0000
Ir 0.6803 0.8401 0.3096
Tm 0.3333 0.6667 0.5766
Ir 0.5000 0.0000 0.0000
Ir 0.3197 0.1599 0.6904
P 0.6667 0.3333 0.8389
P 0.3333 0.6667 0.1611
Ir 0.8401 0.1599 0.6904
Tm 0.0000 0.0000 0.0000
Ir 0.1599 0.3197 0.3096
Ir 0.8401 0.6803 0.6904
Al 0.0000 0.0000 0.5000
Tm 0.6667 0.3333 0.4234
Ir 0.1599 0.8401 0.3096
Ir 0.0000 0.5000 0.0000

Results
Space group: P-3m1
Total magnetic moment, Bohr magnetons per cell: 0.00
Uncorrected energy, eV/atom: -7.63
ΔE_f, meV/atom: -446

2.
Density functional theory data (GGA-PBE) for a geometry-optimized Y2ZrCdGa structure.

abc: 5.5192 5.3088 5.5192
angles: 90.00 90.00 90.00
Atoms (fractional coordinates):
Zr 0.0000 0.5000 0.0000
Cd 0.0000 0.0000 0.0000
Y 0.0000 0.0000 0.5000
Y 0.5000 0.0000 0.0000
Ga 0.5000 0.5000 0.5000

Results
Space group: P4/mmm
Total magnetic moment, Bohr magnetons per cell: 0.00
Uncorrected energy, eV/atom: -4.46
ΔE_f, meV/atom: 626

3.
Density functional theory data (GGA-PBE) for a geometry-optimized Ba3Cl structure.

abc: 7.5670 7.5670 7.5670
angles: 116.42 116.42 116.42
Atoms (fractional coordinates):
Ba 0.0000 0.0000 0.0000
Ba 0.5000 0.5000 0.0000
Cl 0.5000 0.0000 0.5000
Ba 0.0000 0.5000 0.5000

Results
Space group: R-3m
ΔE_f (raw), kJ/mol of formula units: -178
Total magnetic moment, Bohr magnetons per cell: 0.00
Relative energy among the computed polymorphs, meV per atom: 390
Uncorrected energy, eV/atom: -2.37

4.
Density functional theory data (GGA-PBE) for a geometry-optimized LiPuGa2Au5 structure.

abc: 4.5621 4.5621 9.0117
angles: 90.00 90.00 90.00
Last column: magnetic moment on the atom in μB.
Atoms (fractional coordinates):
Au 0.0000 0.5000 0.2692  0.01
Au 0.5000 0.5000 0.5000  0.04
Li 0.0000 0.0000 0.0000  0.01
Au 0.5000 0.0000 0.2692  0.01
Pu 0.0000 0.0000 0.5000  5.28
Ga 0.5000 0.5000 0.8639  0.00
Au 0.5000 0.0000 0.7308  0.01
Au 0.0000 0.5000 0.7308  0.01
Ga 0.5000 0.5000 0.1361  0.00

Results
Space group: P4/mmm
Total magnetic moment, Bohr magnetons per cell: 5.64
Uncorrected energy, eV/atom: -4.57
ΔE_f, meV/atom: -273

5.
Density functional theory data (GGA-PBE) for a geometry-optimized La2TeHF structure.

abc: 5.9379 5.1417 5.9379
angles: 90.00 90.00 90.00
Last column: magnetic moment on the atom in μB.
Atoms (fractional coordinates):
H 0.5000 0.5000 0.5000  0.00
La 0.5000 0.0000 0.0000  0.09
La 0.0000 0.0000 0.5000  0.10
Te 0.0000 0.0000 0.0000  0.00
F 0.0000 0.5000 0.0000  0.00

Results
Space group: P4/mmm
Total magnetic moment, Bohr magnetons per cell: 0.48
Uncorrected energy, eV/atom: -3.93

6.
Density functional theory data (GGA-PBE) for a geometry-optimized Pm2NdZn2 structure.

abc: 3.7155 5.2929 13.7187
angles: 90.00 97.82 90.00
Atoms (fractional coordinates):
Zn 0.3590 0.2500 0.7206
Nd 0.8561 0.7500 0.7163
Nd 0.1439 0.2500 0.2837
Zn 0.4513 0.7500 0.9043
Pm 0.7682 0.2500 0.5356
Pm 0.2318 0.7500 0.4644
Zn 0.6410 0.7500 0.2794
Zn 0.5487 0.2500 0.0957
Pm 0.0464 0.7500 0.0924
Pm 0.9536 0.2500 0.9076

Results
Space group: P2_1/m
Total magnetic moment, Bohr magnetons per cell: 0.00
Relative energy among the computed polymorphs, meV per atom: 0
Uncorrected energy, eV/atom: -3.60
ΔE_f, meV/atom: -241

Q: Which of these has the highest total magnetic moment?
A: LiPuGa2Au5

Q: Which formula does entry 3 have?
A: Ba3Cl

Q: uncorrected energy of number 3 (Ba3Cl)?
A: -2.37 eV/atom

Q: What is the formula in the fourth record?
A: LiPuGa2Au5